! GeNCl2 | Alexandria via LeMat-Bulk | PBE | optimized geometry; values from VASP
! * excess energy over the best structure of this formula in the dataset: 509 meV/atom
! * DOS(E_F): 0.66 states/eV per atom
! * total energy: -2.9221 eV/atom
&SYSTEM
  ibrav = 0, nat = 8, ntyp = 3
/
ATOMIC_SPECIES
Cl 35.45 Cl.upf
Ge 72.64 Ge.upf
N 14.01 N.upf
CELL_PARAMETERS angstrom
-5.713 -0.997 2.337
-2.114 -1.322 -5.733
-2.897 -5.510 -1.070
ATOMIC_POSITIONS angstrom
Cl -5.636 -5.333 -3.509
Ge 0.000 0.000 0.000
Ge -6.262 -3.833 -0.216
N -4.462 -3.996 -4.251
Cl -8.493 -5.831 -2.341
Cl -3.131 -1.917 -0.108
Cl -4.188 -2.578 -2.975
N -3.913 -1.160 -1.698